# KLa2Au

A geometry-optimized KLa2Au structure (PBE, the Alexandria database).

Geometry as POSCAR:
```
KLa2Au
1.0
0.000 3.926 3.926
3.926 0.000 3.926
3.926 3.926 0.000
K Au La
1 1 2
direct
0.000 0.000 0.000
0.500 0.500 0.500
0.250 0.250 0.250
0.750 0.750 0.750
```

Output
* energy above the most stable polymorph in this dataset: 0.292 eV per atom
* symmetry: No. 225
* E_form: 0.080 eV/atom

=====

# Ga3HgF

A geometry-optimized Ga3HgF structure (PBE, the Alexandria database).

Geometry as POSCAR:
```
Ga3HgF
1.0
-1.855 2.194 -3.814
1.318 -3.671 -2.753
-4.197 -2.123 0.821
Hg Ga F
1 3 1
direct
0.500 0.500 0.500
0.000 0.500 0.000
0.000 0.000 0.500
0.500 0.000 0.000
0.000 0.000 0.000
```

Output
* energy above the most stable polymorph in this dataset: 0.000 eV per atom
* symmetry: No. 221
* raw formation energy: -1.85 eV per formula unit

=====

# CeDyZn4

A geometry-optimized CeDyZn4 structure (PBE, the Alexandria database).

Geometry as POSCAR:
```
CeDyZn4
1.0
5.479 0.000 0.000
2.739 4.745 0.000
2.739 1.582 4.473
Zn Ce Dy
4 1 1
direct
0.625 0.625 0.124
0.625 0.124 0.625
0.625 0.625 0.625
0.124 0.625 0.625
0.250 0.250 0.250
0.000 0.000 0.000
```

Output
* energy above the most stable polymorph in this dataset: 0.015 eV per atom
* symmetry: No. 216
* E_form: -0.305 eV/atom

=====

# KLa2Mo

A geometry-optimized KLa2Mo structure (PBE, the Alexandria database).

Geometry as POSCAR:
```
KLa2Mo
1.0
5.568 0.000 0.000
2.784 4.822 0.000
2.784 1.607 4.546
K La Mo
1 2 1
direct
0.500 0.500 0.500
0.000 0.000 0.000
0.250 0.250 0.250
0.750 0.750 0.750
```

Output
* energy above the most stable polymorph in this dataset: 0.699 eV per atom
* symmetry: No. 216
* E_form: 1.054 eV/atom

=====

# Gd2GaRh

A geometry-optimized Gd2GaRh structure (PBE, the Alexandria database).

Geometry as POSCAR:
```
Gd2GaRh
1.0
-0.355 -3.698 -0.999
2.162 -1.442 -2.836
6.135 -3.650 3.924
Gd Rh Ga
2 1 1
direct
0.761 0.761 0.718
0.239 0.239 0.282
0.500 0.500 0.500
0.000 0.000 0.000
```

Output
* symmetry: No. 166
* E_form: -0.526 eV/atom

=====

# ZnSnP

A geometry-optimized ZnSnP structure (PBE, the Alexandria database).

Geometry as POSCAR:
```
ZnSnP
1.0
-3.532 -1.521 -0.150
2.583 -0.862 -2.719
1.510 -3.765 2.629
P Zn Sn
1 1 1
direct
0.667 0.333 0.370
0.333 0.667 0.606
0.000 0.000 0.025
```

Output
* energy above the most stable polymorph in this dataset: 0.000 eV per atom
* symmetry: No. 156
* E_form: 0.018 eV/atom

=====

# La6Rh2Br3O

A geometry-optimized La6Rh2Br3O structure (PBE, the Alexandria database).

Geometry as POSCAR:
```
La6Rh2Br3O
1.0
6.982 -0.007 0.002
-3.495 6.044 0.002
-1.160 -2.009 7.906
La Rh Br O
6 2 3 1
direct
0.935 0.624 0.806
0.756 0.756 0.196
0.065 0.376 0.194
0.624 0.935 0.806
0.244 0.244 0.804
0.376 0.065 0.194
0.335 0.665 0.000
0.665 0.335 0.000
0.176 0.824 0.500
0.824 0.176 0.500
0.500 0.500 0.500
0.000 0.000 0.000
```

Output
* symmetry: No. 12
* raw formation energy: -17.08 eV per formula unit

=====

# AcY8Er2

A geometry-optimized AcY8Er2 structure (PBE, the Alexandria database).

Geometry as POSCAR:
```
AcY8Er2
1.0
-4.432 3.021 -0.274
-7.515 -1.167 -7.047
-2.850 -4.530 6.652
Ac Y Er
1 8 2
direct
0.000 0.000 0.000
0.741 0.984 0.358
0.652 0.600 0.728
0.019 0.729 0.600
0.981 0.271 0.400
0.348 0.400 0.272
0.259 0.016 0.642
0.084 0.642 0.016
0.916 0.358 0.984
0.548 0.684 0.316
0.452 0.316 0.684
```

Output
* energy above the most stable polymorph in this dataset: 0.055 eV per atom
* symmetry: No. 12
* E_form: 0.175 eV/atom

=====

| no. | total DFT energy (no corrections) (eV per atom) |
| --- | --- |
| 1 | -3.4774 |
| 2 | -2.6217 |
| 3 | -2.9103 |
| 4 | -4.3914 |
| 5 | -10.1614 |
| 6 | -3.5445 |
| 7 | -5.9437 |
| 8 | -5.7289 |